Model one:
## Rh3PbC (PBE-GGA)

Data for Rh3PbC after structural relaxation.

Unit cell a=4.9998 b=4.9998 c=4.9998 alpha=90.00 beta=90.00 gamma=90.00
Space group Pm-3m (No. 221)
One atom of each set of equivalent atoms:
1 Rh 0.0000 0.0000 0.5000
2 Pb 0.0000 0.0000 0.0000
3 C 0.5000 0.5000 0.5000

Computed properties:
Crystal system: cubic
Size of the total moment, μB per formula unit: 2.4

Model two:
## Rh3PbC (PBE-GGA)

Data for Rh3PbC after structural relaxation.

Unit cell a=4.1903 b=4.1903 c=4.1903 alpha=90.00 beta=90.00 gamma=90.00
Space group Pm-3m (No. 221)
One atom of each set of equivalent atoms:
1 Rh 0.0000 0.0000 0.5000
2 Pb 0.5000 0.5000 0.5000
3 C 0.0000 0.0000 0.0000

Computed properties:
Crystal system: cubic
Size of the total moment, μB per formula unit: 0.0

Which one sits at the top of the stability order? model two does.